{"formula": "CaSc2Sb", "functional": "PBE-GGA", "state": "optimized geometry", "total_magnetization_mub_per_fu": 2.09, "raw_formation_energy_ev_per_atom": -0.163, "n_ef_per_ev_cell": 27.85, "e_tot_ev_per_cell": -77.753, "lattice_angstrom": [[7.386, 0.000, 0.000], [0.000, 7.386, 0.000], [0.000, 0.000, 7.386]], "species": ["Ca", "Ca", "Ca", "Ca", "Sc", "Sc", "Sc", "Sc", "Sc", "Sc", "Sc", "Sc", "Sb", "Sb", "Sb", "Sb"], "fractional_positions": [[0.000, 0.000, 0.000], [0.000, 0.500, 0.500], [0.500, 0.000, 0.500], [0.500, 0.500, 0.000], [0.000, 0.000, 0.500], [0.000, 0.500, 0.000], [0.250, 0.250, 0.750], [0.250, 0.750, 0.250], [0.500, 0.000, 0.000], [0.500, 0.500, 0.500], [0.750, 0.250, 0.250], [0.750, 0.750, 0.750], [0.250, 0.250, 0.250], [0.250, 0.750, 0.750], [0.750, 0.250, 0.750], [0.750, 0.750, 0.250]]}

---

{"formula": "SrCaSc2Sb", "functional": "PBE-GGA", "state": "optimized geometry", "total_magnetization_mub_per_fu": 0.00, "raw_formation_energy_ev_per_atom": 0.907, "n_ef_per_ev_cell": 5.70, "e_tot_ev_per_cell": -15.935, "lattice_angstrom": [[5.316, 0.000, 0.000], [0.000, 5.316, 0.000], [0.000, 0.000, 5.761]], "species": ["Sr", "Ca", "Sc", "Sc", "Sb"], "fractional_positions": [[0.000, 0.000, 0.000], [0.000, 0.000, 0.500], [0.000, 0.500, 0.500], [0.500, 0.000, 0.500], [0.500, 0.500, 0.000]]}

---

{"formula": "SrCaSc2Sb", "functional": "PBE-GGA", "state": "optimized geometry", "total_magnetization_mub_per_fu": 1.38, "raw_formation_energy_ev_per_atom": 0.014, "n_ef_per_ev_cell": 7.03, "e_tot_ev_per_cell": -20.397, "lattice_angstrom": [[5.550, 0.000, 0.000], [0.000, 5.550, 0.000], [0.000, 0.000, 6.217]], "species": ["Sr", "Ca", "Sc", "Sc", "Sb"], "fractional_positions": [[0.000, 0.000, 0.000], [0.500, 0.500, 0.000], [0.000, 0.500, 0.500], [0.500, 0.000, 0.500], [0.000, 0.000, 0.500]]}

---

{"formula": "CaScSb2Te", "functional": "PBE-GGA", "state": "optimized geometry", "total_magnetization_mub_per_fu": 0.00, "raw_formation_energy_ev_per_atom": -0.415, "n_ef_per_ev_cell": 3.09, "e_tot_ev_per_cell": -21.793, "lattice_angstrom": [[5.478, 0.000, 0.000], [0.000, 5.478, 0.000], [0.000, 0.000, 5.586]], "species": ["Ca", "Sc", "Sb", "Sb", "Te"], "fractional_positions": [[0.000, 0.000, 0.000], [0.500, 0.500, 0.500], [0.000, 0.500, 0.500], [0.500, 0.000, 0.500], [0.500, 0.500, 0.000]]}

---

{"formula": "CaScSb2W", "functional": "PBE-GGA", "state": "optimized geometry", "total_magnetization_mub_per_fu": 0.00, "raw_formation_energy_ev_per_atom": 0.241, "n_ef_per_ev_cell": 4.07, "e_tot_ev_per_cell": -28.324, "lattice_angstrom": [[5.326, 0.000, 0.000], [0.000, 5.326, 0.000], [0.000, 0.000, 5.131]], "species": ["Ca", "Sc", "Sb", "Sb", "W"], "fractional_positions": [[0.000, 0.000, 0.000], [0.500, 0.500, 0.000], [0.000, 0.500, 0.500], [0.500, 0.000, 0.500], [0.500, 0.500, 0.500]]}

---

{"formula": "Ca3SbSe4", "functional": "PBE-GGA", "state": "optimized geometry", "total_magnetization_mub_per_fu": 0.00, "raw_formation_energy_ev_per_atom": -1.473, "n_ef_per_ev_cell": 7.56, "e_tot_ev_per_cell": -71.703, "lattice_angstrom": [[6.048, 0.000, 0.000], [0.000, 6.048, 0.000], [0.000, 0.000, 11.813]], "species": ["Ca", "Ca", "Ca", "Ca", "Ca", "Ca", "Sb", "Sb", "Se", "Se", "Se", "Se", "Se", "Se", "Se", "Se"], "fractional_positions": [[0.000, 0.000, 0.000], [0.000, 0.500, 0.250], [0.000, 0.500, 0.750], [0.500, 0.000, 0.250], [0.500, 0.000, 0.750], [0.500, 0.500, 0.500], [0.000, 0.000, 0.500], [0.500, 0.500, 0.000], [0.000, 0.000, 0.252], [0.000, 0.000, 0.748], [0.000, 0.500, 0.000], [0.000, 0.500, 0.500], [0.500, 0.000, 0.000], [0.500, 0.000, 0.500], [0.500, 0.500, 0.248], [0.500, 0.500, 0.752]]}

---

{"formula": "Ca2Sb2Se", "functional": "PBE-GGA", "state": "optimized geometry", "total_magnetization_mub_per_fu": 0.00, "raw_formation_energy_ev_per_atom": -0.888, "n_ef_per_ev_cell": 3.20, "e_tot_ev_per_cell": -40.343, "lattice_angstrom": [[7.878, 0.000, 0.000], [0.000, 7.878, 0.000], [0.000, 0.000, 4.862]], "species": ["Ca", "Ca", "Ca", "Ca", "Sb", "Sb", "Sb", "Sb", "Se", "Se"], "fractional_positions": [[0.179, 0.321, 0.000], [0.321, 0.821, 0.000], [0.679, 0.179, 0.000], [0.821, 0.679, 0.000], [0.123, 0.623, 0.500], [0.377, 0.123, 0.500], [0.623, 0.877, 0.500], [0.877, 0.377, 0.500], [0.000, 0.000, 0.000], [0.500, 0.500, 0.000]]}

---

{"formula": "Ca2SbSe", "functional": "PBE-GGA", "state": "optimized geometry", "total_magnetization_mub_per_fu": 0.00, "raw_formation_energy_ev_per_atom": -1.261, "n_ef_per_ev_cell": 2.09, "e_tot_ev_per_cell": -16.655, "lattice_angstrom": [[3.997, 0.000, 0.000], [0.000, 4.731, 0.000], [0.000, 0.000, 6.261]], "species": ["Ca", "Ca", "Sb", "Se"], "fractional_positions": [[0.000, 0.000, 0.000], [0.500, 0.500, 0.499], [0.000, 0.000, 0.500], [0.500, 0.500, 0.000]]}